Record 1
TbTh2Sn: optimized geometry, GGA-PBE.

Structure (POSCAR):
```
TbTh2Sn
1.0
5.065 0.000 0.000
0.000 4.813 0.000
0.000 0.000 4.813
Th Sn Tb
2 1 1
Direct
0.000 0.000 0.500 Th
0.000 0.500 0.000 Th
0.500 0.000 0.000 Sn
0.500 0.500 0.500 Tb
```

Record 2
Tb3ThSn3: optimized geometry, GGA-PBE.

Structure (POSCAR):
```
Tb3ThSn3
1.0
-1.264 -0.637 -5.287
-4.442 -7.796 2.001
-4.502 8.015 0.111
Tb Sn Th
6 6 2
Direct
0.250 0.242 0.006 Tb
0.750 0.758 0.994 Tb
0.750 0.006 0.763 Tb
0.250 0.763 0.758 Tb
0.250 0.994 0.237 Tb
0.750 0.237 0.242 Tb
0.250 0.074 0.625 Sn
0.750 0.449 0.074 Sn
0.750 0.926 0.375 Sn
0.750 0.625 0.551 Sn
0.250 0.375 0.449 Sn
0.250 0.551 0.926 Sn
0.250 0.667 0.333 Th
0.750 0.333 0.667 Th
```

Record 3
Tb5ThSn6: optimized geometry, GGA-PBE.

Structure (POSCAR):
```
Tb5ThSn6
1.0
-3.435 -7.439 1.566
3.466 -5.078 0.647
2.290 -1.182 7.993
Tb Sn Th
5 6 1
Direct
0.500 0.500 0.000 Tb
0.500 0.843 0.315 Tb
0.000 0.326 0.347 Tb
0.000 0.674 0.653 Tb
0.500 0.157 0.685 Tb
0.232 0.283 0.000 Sn
0.266 0.556 0.340 Sn
0.734 0.444 0.660 Sn
0.266 0.896 0.660 Sn
0.768 0.717 0.000 Sn
0.734 0.104 0.340 Sn
0.000 0.000 0.000 Th
```

Record 4
Tb2ThSn: optimized geometry, GGA-PBE.

Structure (POSCAR):
```
Tb2ThSn
1.0
3.541 0.000 0.000
1.771 3.067 0.000
1.771 1.022 11.871
Tb Sn Th
2 1 1
Direct
0.088 0.088 0.737 Tb
0.912 0.912 0.263 Tb
0.000 0.000 0.000 Sn
0.500 0.500 0.500 Th
```

ΔE_f (computed, meV per atom): -347; -506; -595; 37